Compound: PmPr6SmHo2
Source: the Alexandria database
Functional: PBE
Structure: relaxed

## Properties
The value obtained for the volume is 701 Å³ per cell. For the formation enthalpy at 0 K, the calculation gives 0.11 eV per atom. The space-group type is C2/c, No. 15. The calculated total energy comes out at -0.3394 Ry/atom.

Cell lengths 9.0078, 9.0078, 9.8086 Å; angles 94.07, 94.07, 117.23 degrees
Fractional coordinates of all 20 atoms:
Pm (0.0291, 0.9709, 0.7500)
Pm (0.9709, 0.0291, 0.2500)
Pr (0.0116, 0.5638, 0.6850)
Pr (0.1108, 0.7583, 0.0552)
Pr (0.2417, 0.8892, 0.4448)
Pr (0.2965, 0.5112, 0.8811)
Pr (0.4362, 0.9884, 0.8150)
Pr (0.4888, 0.7035, 0.6189)
Pr (0.5112, 0.2965, 0.3811)
Pr (0.5638, 0.0116, 0.1850)
Pr (0.7035, 0.4888, 0.1189)
Pr (0.7583, 0.1108, 0.5552)
Pr (0.8892, 0.2417, 0.9448)
Pr (0.9884, 0.4362, 0.3150)
Sm (0.4082, 0.5918, 0.2500)
Sm (0.5918, 0.4082, 0.7500)
Ho (0.1982, 0.2938, 0.5476)
Ho (0.2938, 0.1982, 0.0476)
Ho (0.7062, 0.8018, 0.9524)
Ho (0.8018, 0.7062, 0.4524)

***

Compound: NaNdHo2Te4
Source: the Alexandria database
Functional: PBE
Structure: relaxed

## Properties
The value obtained for the volume is 245 Å³ per cell. As for the uncorrected formation energy: -10.6 eV per formula unit. The space-group type is P2/m, No. 10. The calculated total energy comes out at -0.3528 Ry/atom.

Cell lengths 7.6823, 4.3737, 7.7103 Å; angles 90.00, 108.81, 90.00 degrees
Fractional coordinates of all 8 atoms:
Na (0.0000, 0.0000, 0.0000)
Nd (0.5000, 0.5000, 0.0000)
Ho (0.0000, 0.5000, 0.5000)
Ho (0.5000, 0.0000, 0.5000)
Te (0.2430, 0.0000, 0.7397)
Te (0.2518, 0.5000, 0.2604)
Te (0.7482, 0.5000, 0.7396)
Te (0.7570, 0.0000, 0.2603)

***

Compound: NbV2Mo2
Source: the Alexandria database
Functional: PBE
Structure: relaxed

## Properties
The value obtained for the volume is 77 Å³ per cell. For the formation enthalpy at 0 K, the calculation gives -0.09 eV per atom. The space-group type is R-3m, No. 166. The calculated total energy comes out at -0.7412 Ry/atom. The polymorph energy (0 for the lowest one) comes out at 0 meV per atom.

Cell lengths 5.2597, 5.2597, 5.2597 Å; angles 49.34, 49.34, 49.34 degrees
Fractional coordinates of all 5 atoms:
Nb (0.0000, 0.0000, 0.0000)
V (0.2035, 0.2035, 0.2035)
V (0.7965, 0.7965, 0.7965)
Mo (0.4041, 0.4041, 0.4041)
Mo (0.5959, 0.5959, 0.5959)